1.
Here is SnSe3N after structural relaxation from Alexandria. Energies are from PBE-GGA.

CIF file:
```
data_SnSe3N
_chemical_formula_sum 'Sn1 Se3 N1'
_cell_length_a 4.568
_cell_length_b 4.568
_cell_length_c 4.568
_cell_angle_alpha 90.00
_cell_angle_beta 90.00
_cell_angle_gamma 90.00
_space_group_name_H-M_alt 'P 1'
_space_group_IT_number 1
_space_group_name_Hall 'P 1'
loop_
_atom_site_label
_atom_site_fract_x
_atom_site_fract_y
_atom_site_fract_z
_atom_site_occupancy
Sn1 0.000 0.000 0.000 1
Se1 0.000 0.500 0.500 1
Se2 0.500 0.000 0.500 1
Se3 0.500 0.500 0.000 1
N1 0.500 0.500 0.500 1
```

Summary:
Space-group type = No. 221
Raw total energy = -3.89 eV per atom
Spin magnetization = 0.00 Bohr magnetons per cell
Energy relative to the elements, uncorrected = 664 meV/atom
Energy above the lowest structure with this stoichiometry = 0.0000 eV/atom

2.
Here is Y2GeN after structural relaxation from Alexandria. Energies are from PBE-GGA.

CIF file:
```
data_Y2GeN
_chemical_formula_sum 'Y2 Ge1 N1'
_cell_length_a 7.390
_cell_length_b 7.390
_cell_length_c 7.390
_cell_angle_alpha 27.78
_cell_angle_beta 27.78
_cell_angle_gamma 27.78
_space_group_name_H-M_alt 'P 1'
_space_group_IT_number 1
_space_group_name_Hall 'P 1'
loop_
_atom_site_label
_atom_site_fract_x
_atom_site_fract_y
_atom_site_fract_z
_atom_site_occupancy
Y1 0.230 0.230 0.230 1
Y2 0.770 0.770 0.770 1
Ge1 0.000 0.000 0.000 1
N1 0.500 0.500 0.500 1
```

Summary:
Space-group type = No. 166
Raw total energy = -7.63 eV per atom
Spin magnetization = 0.00 Bohr magnetons per cell
Energy relative to the elements, uncorrected = -1161 meV/atom

3.
Here is KAl4Hg after structural relaxation from Alexandria. Energies are from PBE-GGA.

CIF file:
```
data_KAl4Hg
_chemical_formula_sum 'K1 Al4 Hg1'
_cell_length_a 5.760
_cell_length_b 5.760
_cell_length_c 5.760
_cell_angle_alpha 60.00
_cell_angle_beta 60.00
_cell_angle_gamma 60.00
_space_group_name_H-M_alt 'P 1'
_space_group_IT_number 1
_space_group_name_Hall 'P 1'
loop_
_atom_site_label
_atom_site_fract_x
_atom_site_fract_y
_atom_site_fract_z
_atom_site_occupancy
K1 0.000 0.000 0.000 1
Al1 0.122 0.626 0.626 1
Al2 0.626 0.122 0.626 1
Al3 0.626 0.626 0.122 1
Al4 0.626 0.626 0.626 1
Hg1 0.250 0.250 0.250 1
```

Summary:
Space-group type = No. 216
Raw total energy = -2.52 eV per atom
Spin magnetization = 0.00 Bohr magnetons per cell
Formation energy = 211 meV/atom

4.
Here is RbAlGe after structural relaxation from Alexandria. Energies are from PBE-GGA.

CIF file:
```
data_RbAlGe
_chemical_formula_sum 'Rb4 Al4 Ge4'
_cell_length_a 9.519
_cell_length_b 9.519
_cell_length_c 9.519
_cell_angle_alpha 93.65
_cell_angle_beta 93.65
_cell_angle_gamma 150.77
_space_group_name_H-M_alt 'P 1'
_space_group_IT_number 1
_space_group_name_Hall 'P 1'
loop_
_atom_site_label
_atom_site_fract_x
_atom_site_fract_y
_atom_site_fract_z
_atom_site_occupancy
Rb1 0.000 0.221 0.221 1
Rb2 0.000 0.779 0.779 1
Rb3 0.221 0.000 0.221 1
Rb4 0.779 0.000 0.779 1
Al1 0.278 0.278 0.556 1
Al2 0.278 0.722 0.000 1
Al3 0.722 0.278 0.000 1
Al4 0.722 0.722 0.444 1
Ge1 0.096 0.500 0.596 1
Ge2 0.500 0.096 0.596 1
Ge3 0.500 0.904 0.404 1
Ge4 0.904 0.500 0.404 1
```

Summary:
Space-group type = No. 139
Raw total energy = -2.79 eV per atom
Spin magnetization = 0.00 Bohr magnetons per cell
Formation energy = 320 meV/atom

5.
Here is Cs2Sc2PaS6 after structural relaxation from Alexandria. Energies are from PBE-GGA.

CIF file:
```
data_Cs2Sc2PaS6
_chemical_formula_sum 'Cs2 Sc2 Pa1 S6'
_cell_length_a 6.735
_cell_length_b 6.735
_cell_length_c 8.547
_cell_angle_alpha 97.61
_cell_angle_beta 97.61
_cell_angle_gamma 120.24
_space_group_name_H-M_alt 'P 1'
_space_group_IT_number 1
_space_group_name_Hall 'P 1'
loop_
_atom_site_label
_atom_site_fract_x
_atom_site_fract_y
_atom_site_fract_z
_atom_site_occupancy
Cs1 0.167 0.833 0.000 1
Cs2 0.833 0.167 0.000 1
Sc1 0.333 0.667 0.500 1
Sc2 0.667 0.333 0.500 1
Pa1 0.000 0.000 0.500 1
S1 0.058 0.399 0.673 1
S2 0.283 0.283 0.326 1
S3 0.399 0.058 0.673 1
S4 0.601 0.942 0.327 1
S5 0.717 0.717 0.674 1
S6 0.942 0.601 0.327 1
```

Summary:
Space-group type = No. 12
Raw total energy = -6.14 eV per atom
Spin magnetization = 1.10 Bohr magnetons per cell
Energy relative to the elements, uncorrected = -1722 meV/atom

6.
Here is Mg4ReN5 after structural relaxation from Alexandria. Energies are from PBE-GGA.

CIF file:
```
data_Mg4ReN5
_chemical_formula_sum 'Mg4 Re1 N5'
_cell_length_a 5.316
_cell_length_b 5.316
_cell_length_c 5.316
_cell_angle_alpha 100.64
_cell_angle_beta 100.64
_cell_angle_gamma 129.12
_space_group_name_H-M_alt 'P 1'
_space_group_IT_number 1
_space_group_name_Hall 'P 1'
loop_
_atom_site_label
_atom_site_fract_x
_atom_site_fract_y
_atom_site_fract_z
_atom_site_occupancy
Mg1 0.099 0.695 0.794 1
Mg2 0.305 0.099 0.405 1
Mg3 0.695 0.901 0.595 1
Mg4 0.901 0.305 0.206 1
Re1 0.445 0.445 0.000 1
N1 0.045 0.045 0.000 1
N2 0.241 0.426 0.634 1
N3 0.426 0.792 0.185 1
N4 0.607 0.241 0.815 1
N5 0.792 0.607 0.366 1
```

Summary:
Space-group type = No. 79
Raw total energy = -6.64 eV per atom
Spin magnetization = 0.00 Bohr magnetons per cell
Energy relative to the elements, uncorrected = -590 meV/atom

7.
Here is Hg2AuCl after structural relaxation from Alexandria. Energies are from PBE-GGA.

CIF file:
```
data_Hg2AuCl
_chemical_formula_sum 'Hg2 Au1 Cl1'
_cell_length_a 8.124
_cell_length_b 8.124
_cell_length_c 8.124
_cell_angle_alpha 27.34
_cell_angle_beta 27.34
_cell_angle_gamma 27.34
_space_group_name_H-M_alt 'P 1'
_space_group_IT_number 1
_space_group_name_Hall 'P 1'
loop_
_atom_site_label
_atom_site_fract_x
_atom_site_fract_y
_atom_site_fract_z
_atom_site_occupancy
Hg1 0.000 0.000 0.000 1
Hg2 0.178 0.178 0.178 1
Au1 0.590 0.590 0.590 1
Cl1 0.417 0.417 0.417 1
```

Summary:
Space-group type = No. 160
Raw total energy = -1.55 eV per atom
Spin magnetization = 0.00 Bohr magnetons per cell
Energy relative to the elements, uncorrected = -122 meV/atom
Energy above the lowest structure with this stoichiometry = 0.0035 eV/atom

8.
Here is Mn2RuAu after structural relaxation from Alexandria. Energies are from PBE-GGA.

CIF file:
```
data_Mn2RuAu
_chemical_formula_sum 'Mn2 Ru1 Au1'
_cell_length_a 8.879
_cell_length_b 8.879
_cell_length_c 8.879
_cell_angle_alpha 17.89
_cell_angle_beta 17.89
_cell_angle_gamma 17.89
_space_group_name_H-M_alt 'P 1'
_space_group_IT_number 1
_space_group_name_Hall 'P 1'
loop_
_atom_site_label
_atom_site_fract_x
_atom_site_fract_y
_atom_site_fract_z
_atom_site_occupancy
Mn1 0.000 0.000 0.000 1
Mn2 0.256 0.256 0.256 1
Ru1 0.740 0.740 0.740 1
Au1 0.502 0.502 0.502 1
```

Summary:
Space-group type = No. 160
Raw total energy = -7.46 eV per atom
Spin magnetization = 4.84 Bohr magnetons per cell
Formation energy = 258 meV/atom